Record 1
The following is a PBE calculation of a relaxed structure of SeClO2, from Alexandria.

Cell lengths 7.7608, 7.7608, 7.7608 Å; angles 23.23, 23.23, 23.23 degrees
Last column: magnetic moment on the atom in μB.
Fractional positions:
Se 0.0000 0.0000 0.0000  0.01
Cl 0.5000 0.5000 0.5000  0.65
O 0.0756 0.0756 0.0756  0.10
O 0.9244 0.9244 0.9244  0.10

* ΔE_f (raw): 569 meV/atom
* energy above the lowest structure with this stoichiometry: 0.5119 eV per atom

Record 2
The following is a PBE calculation of a relaxed structure of NaCaCu2, from Alexandria.

Cell lengths 7.7727, 7.7727, 6.1867 Å; angles 51.08, 51.08, 90.00 degrees
Fractional positions:
Na 0.5000 0.5000 0.0000
Na 0.2500 0.7500 0.5000
Ca 0.0000 0.0000 0.0000
Ca 0.7500 0.2500 0.5000
Cu 0.1349 0.6250 0.2500
Cu 0.6151 0.1250 0.2500
Cu 0.3750 0.3849 0.7500
Cu 0.8750 0.8651 0.7500

* formation energy from the elements: 0.34 eV/atom
* energy above the lowest structure with this stoichiometry: 0.1966 eV per atom

Record 3
The following is a PBE calculation of a relaxed structure of SiSnW, from Alexandria.

Cell lengths 3.3732, 3.3732, 8.9282 Å; angles 90.00, 90.00, 90.00 degrees
Fractional positions:
Si 0.0000 0.0000 0.2001
Si 0.5000 0.5000 0.7001
Sn 0.0000 0.0000 0.5106
Sn 0.5000 0.5000 0.0106
W 0.0000 0.0000 0.8237
W 0.5000 0.5000 0.3237

* ΔE_f (raw): 138 meV/atom
* energy above the lowest structure with this stoichiometry: 0.0726 eV per atom

Record 4
The following is a PBE calculation of a relaxed structure of Hg2MoI, from Alexandria.

Cell lengths 5.4243, 5.4243, 5.4243 Å; angles 60.00, 60.00, 60.00 degrees
Last column: magnetic moment on the atom in μB.
Fractional positions:
Mo 0.0000 0.0000 0.0000  3.66
Hg 0.7500 0.7500 0.7500  0.04
Hg 0.2500 0.2500 0.2500  0.04
I 0.5000 0.5000 0.5000  0.08

* ΔE_f (raw): 1044 meV/atom
* energy above the lowest structure with this stoichiometry: 0.3305 eV per atom

Record 5
The following is a PBE calculation of a relaxed structure of Na2Ge2Ru, from Alexandria.

Cell lengths 6.4147, 6.4147, 5.0572 Å; angles 90.00, 90.00, 90.00 degrees
Fractional positions:
Ru 0.0000 0.0000 0.0000
Ru 0.5000 0.5000 0.0000
Ge 0.6479 0.1479 0.0000
Ge 0.1479 0.3521 0.0000
Ge 0.8521 0.6479 0.0000
Ge 0.3521 0.8521 0.0000
Na 0.6802 0.8198 0.5000
Na 0.1802 0.6802 0.5000
Na 0.8198 0.3198 0.5000
Na 0.3198 0.1802 0.5000

* formation energy from the elements: 0.04 eV/atom

Record 6
The following is a PBE calculation of a relaxed structure of LiNbCd, from Alexandria.

Cell lengths 7.6721, 5.6584, 4.8079 Å; angles 90.00, 90.00, 90.00 degrees
Fractional positions:
Li 0.3099 0.7500 0.9998
Li 0.8099 0.7500 0.5002
Li 0.6901 0.2500 0.0002
Li 0.1901 0.2500 0.4998
Nb 0.6477 0.7500 0.0002
Nb 0.8523 0.2500 0.5002
Nb 0.3523 0.2500 0.9998
Nb 0.1477 0.7500 0.4998
Cd 0.5000 0.0000 0.5000
Cd 0.0000 0.0000 0.0000
Cd 0.0000 0.5000 0.0000
Cd 0.5000 0.5000 0.5000

* formation energy from the elements: 0.49 eV/atom
* energy above the lowest structure with this stoichiometry: 0.4603 eV per atom

Record 7
The following is a PBE calculation of a relaxed structure of CdInHg2I, from Alexandria.

Cell lengths 5.5700, 5.5700, 5.9257 Å; angles 90.00, 90.00, 90.00 degrees
Fractional positions:
Hg 0.5000 0.0000 0.0000
Hg 0.0000 0.5000 0.0000
I 0.5000 0.5000 0.5000
In 0.0000 0.0000 0.5000
Cd 0.0000 0.0000 0.0000

* ΔE_f (raw): -47 meV/atom
* energy above the lowest structure with this stoichiometry: 0.0000 eV per atom

Record 8
The following is a PBE calculation of a relaxed structure of FeOsRu2, from Alexandria.

Cell lengths 2.6752, 2.6752, 7.4106 Å; angles 90.00, 90.00, 90.00 degrees
Last column: magnetic moment on the atom in μB.
Fractional positions:
Os 0.5000 0.5000 0.7373  -0.04
Ru 0.5000 0.5000 0.2611  -0.02
Ru 0.0000 0.0000 0.0004  -0.09
Fe 0.0000 0.0000 0.5011  0.63

* formation energy from the elements: 0.16 eV/atom

Record 9
The following is a PBE calculation of a relaxed structure of AlGaO2F, from Alexandria.

Cell lengths 3.7932, 3.7932, 3.6078 Å; angles 90.00, 90.00, 90.00 degrees
Fractional positions:
Al 0.0000 0.0000 0.0000
Ga 0.5000 0.5000 0.5000
O 0.5000 0.0000 0.0000
O 0.0000 0.5000 0.0000
F 0.0000 0.0000 0.5000

* ΔE_f (raw): -2001 meV/atom

Record 10
The following is a PBE calculation of a relaxed structure of AlIn2Cl, from Alexandria.

Cell lengths 3.3526, 3.3526, 10.4318 Å; angles 90.00, 90.00, 120.58 degrees
Fractional positions:
In 0.0000 0.0000 0.0075
In 0.5000 0.5000 0.2812
Cl 0.5000 0.5000 0.6913
Al 0.0000 0.0000 0.5199

* ΔE_f (raw): -190 meV/atom
* energy above the lowest structure with this stoichiometry: 0.0431 eV per atom

Record 11
The following is a PBE calculation of a relaxed structure of RbBaSCl, from Alexandria.

Cell lengths 4.6030, 4.6030, 8.4497 Å; angles 90.00, 105.81, 120.00 degrees
Fractional positions:
S 0.3237 0.5597 0.8987
Ba 0.1182 0.9571 0.0905
Cl 0.9520 0.3741 0.3411
Rb 0.4841 0.1399 0.6394

* ΔE_f (raw): -1910 meV/atom
* energy above the lowest structure with this stoichiometry: 0.0000 eV per atom

Record 12
The following is a PBE calculation of a relaxed structure of CuIrBr6, from Alexandria.

Cell lengths 6.8866, 6.7719, 6.7719 Å; angles 118.76, 103.20, 103.20 degrees
Last column: magnetic moment on the atom in μB.
Fractional positions:
Br 0.7122 0.2932 0.2932  0.11
Br 0.2441 0.0973 0.3864  0.10
Br 0.7559 0.6136 0.9027  0.10
Br 0.7559 0.9027 0.6136  0.10
Br 0.2441 0.3864 0.0973  0.10
Br 0.2878 0.7068 0.7068  0.11
Ir 0.5000 0.5000 0.5000  0.30
Cu 0.0000 0.0000 0.0000  0.40

* ΔE_f (raw): -200 meV/atom
* energy above the lowest structure with this stoichiometry: 0.0000 eV per atom

Record 13
The following is a PBE calculation of a relaxed structure of TcAsCl2, from Alexandria.

Cell lengths 3.1164, 3.8910, 7.7619 Å; angles 76.09, 90.00, 90.00 degrees
Fractional positions:
As 0.5000 0.7083 0.7004
Tc 0.0000 0.2848 0.5696
Cl 0.0000 0.1084 0.8981
Cl 0.5000 0.3985 0.3318

* ΔE_f (raw): -150 meV/atom
* energy above the lowest structure with this stoichiometry: 0.0642 eV per atom

Record 14
The following is a PBE calculation of a relaxed structure of Pm2Ho3Ga4, from Alexandria.

Cell lengths 6.8711, 8.5471, 8.6336 Å; angles 90.00, 113.45, 90.00 degrees
Fractional positions:
Ga 0.3147 0.4584 0.6293
Ga 0.8147 0.0416 0.6293
Ga 0.7168 0.7500 0.9337
Ga 0.6853 0.5416 0.3707
Ga 0.2832 0.2500 0.0663
Ga 0.7832 0.2500 0.0663
Ga 0.1853 0.9584 0.3707
Ga 0.2168 0.7500 0.9337
Ho 0.9658 0.2500 0.4316
Ho 0.0342 0.7500 0.5684
Ho 0.4658 0.2500 0.4316
Ho 0.5342 0.7500 0.5684
Ho 0.0000 0.0000 0.0000
Ho 0.5000 0.5000 0.0000
Pm 0.3934 0.0806 0.7867
Pm 0.6066 0.9194 0.2133
Pm 0.8934 0.4194 0.7867
Pm 0.1066 0.5806 0.2133

* formation energy from the elements: -0.42 eV/atom
* energy above the lowest structure with this stoichiometry: 0.1569 eV per atom

Record 15
The following is a PBE calculation of a relaxed structure of Zn2IrRh, from Alexandria.

Cell lengths 4.4898, 4.4898, 4.8392 Å; angles 79.71, 79.71, 36.29 degrees
Fractional positions:
Zn 0.0000 0.0000 0.0006
Zn 0.5000 0.5000 0.4994
Rh 0.2500 0.2500 0.2500
Ir 0.7500 0.7500 0.7500

* formation energy from the elements: -0.23 eV/atom

Record 16
The following is a PBE calculation of a relaxed structure of KCdCu, from Alexandria.

Cell lengths 5.0592, 5.0592, 5.0592 Å; angles 60.00, 60.00, 60.00 degrees
Fractional positions:
Cd 0.5000 0.5000 0.5000
Cu 0.7500 0.7500 0.7500
K 0.0000 0.0000 0.0000

* formation energy from the elements: 0.31 eV/atom
* energy above the lowest structure with this stoichiometry: 0.2419 eV per atom

Record 17
The following is a PBE calculation of a relaxed structure of HfCN2O, from Alexandria.

Cell lengths 4.3225, 4.3225, 4.0020 Å; angles 90.00, 90.00, 90.00 degrees
Last column: magnetic moment on the atom in μB.
Fractional positions:
O 0.0000 0.0000 0.5000  0.33
C 0.5000 0.5000 0.5000  -0.67
N 0.0000 0.5000 0.0000  1.00
N 0.5000 0.0000 0.0000  1.00
Hf 0.0000 0.0000 0.0000  -0.03

* ΔE_f (raw): 1298 meV/atom

Record 18
The following is a PBE calculation of a relaxed structure of PrDy14Zr, from Alexandria.

Cell lengths 7.0636, 7.0636, 9.9420 Å; angles 90.00, 90.00, 90.00 degrees
Fractional positions:
Pr 0.3749 0.6251 0.0000
Dy 0.6308 0.8808 0.7541
Dy 0.6308 0.8808 0.2459
Dy 0.1192 0.8808 0.2459
Dy 0.6308 0.3692 0.2460
Dy 0.3751 0.1251 0.0000
Dy 0.1192 0.8808 0.7541
Dy 0.8749 0.6249 0.0000
Dy 0.3749 0.1249 0.5000
Dy 0.1192 0.3692 0.7541
Dy 0.8750 0.1250 0.5000
Dy 0.1192 0.3692 0.2459
Dy 0.6308 0.3692 0.7540
Dy 0.3750 0.6250 0.5000
Dy 0.8751 0.6251 0.5000
Zr 0.8751 0.1249 0.0000

* formation energy from the elements: 0.04 eV/atom

Record 19
The following is a PBE calculation of a relaxed structure of Ac3Bi2Rh, from Alexandria.

Cell lengths 6.7856, 9.3033, 8.1806 Å; angles 106.51, 114.50, 90.00 degrees
Fractional positions:
Ac 0.1452 0.5731 0.2934
Ac 0.4478 0.2500 0.0000
Ac 0.8548 0.4269 0.7066
Ac 0.1483 0.0731 0.2934
Ac 0.5522 0.7500 0.0000
Ac 0.8517 0.9269 0.7066
Bi 0.6727 0.5874 0.3488
Bi 0.6761 0.0874 0.3488
Bi 0.3239 0.9126 0.6512
Bi 0.3273 0.4126 0.6512
Rh 0.0142 0.2500 0.0000
Rh 0.9858 0.7500 0.0000

* formation energy from the elements: -0.75 eV/atom

Record 20
The following is a PBE calculation of a relaxed structure of KCd2InF8, from Alexandria.

Cell lengths 4.6933, 5.4288, 7.4382 Å; angles 90.00, 90.00, 89.83 degrees
Fractional positions:
F 0.1333 0.7612 0.7942
F 0.4308 0.2696 0.5000
F 0.8667 0.2388 0.2058
F 0.8668 0.2388 0.7942
F 0.3571 0.2530 0.0000
F 0.1332 0.7612 0.2058
F 0.6429 0.7470 0.0000
F 0.5692 0.7304 0.5000
K 0.0000 0.0000 0.5000
In 0.0000 0.0000 0.0000
Cd 0.5000 0.5000 0.7478
Cd 0.5000 0.5000 0.2522

* ΔE_f (raw): -2387 meV/atom

no.,V (Å³/cell),total moment (μB/f.u.)
1,63.8,1.0
2,171.6,0.0
3,101.6,0.0
4,112.9,4.8
5,208.1,0.0
6,208.7,0.0
7,183.8,0.0
8,53.0,0.5
9,51.9,0.0
10,100.9,0.0
11,147.2,0.1
12,247.5,1.5
13,91.4,0.0
14,465.2,0.0
15,56.7,0.0
16,91.6,0.0
17,74.8,2.0
18,496.0,0.0
19,446.4,0.0
20,189.5,0.0